(1)
CeEr3In: relaxed, GGA-PBE.

a = 5.3298 Å, b = 6.7032 Å, c = 8.4839 Å
α = 88.26°, β = 108.31°, γ = 90.00°
Last column: magnetic moment on the atom in μB.
Fractional coordinates of all 10 atoms:
Ce1 0.5840 0.5157 0.1679  0.45
Ce2 0.4160 0.4843 0.8321  0.45
Er1 0.9945 0.7547 0.9891  0.05
Er2 0.0055 0.2453 0.0109  0.05
Er3 0.3893 0.9987 0.7787  0.04
Er4 0.6107 0.0013 0.2213  0.04
Er5 0.2043 0.7267 0.4086  0.02
Er6 0.7957 0.2733 0.5914  0.02
In1 0.7997 0.7653 0.5995  0.00
In2 0.2003 0.2347 0.4005  0.00

Summary:
* DFT total energy: -0.3394 Ry/atom

(2)
LiLaBe2: relaxed, GGA-PBE.

a = 5.5197 Å, b = 5.5197 Å, c = 5.5197 Å
α = 44.02°, β = 44.02°, γ = 44.02°
Fractional coordinates of all 4 atoms:
Be1 0.0585 0.0585 0.0585
Be2 0.4415 0.4415 0.4415
La1 0.2500 0.2500 0.2500
Li1 0.7500 0.7500 0.7500

Summary:
* DFT total energy: -0.2446 Ry/atom

(3)
BaInSe2O8: relaxed, GGA-PBE.

a = 5.3159 Å, b = 5.3159 Å, c = 8.1527 Å
α = 87.24°, β = 87.24°, γ = 66.86°
Fractional coordinates of all 12 atoms:
Ba1 0.0000 0.0000 0.5000
In1 0.0000 0.0000 0.0000
Se1 0.6289 0.6289 0.2166
Se2 0.3711 0.3711 0.7834
O1 0.7280 0.2265 0.7943
O2 0.7552 0.7552 0.0539
O3 0.7018 0.7018 0.4039
O4 0.2982 0.2982 0.5961
O5 0.2448 0.2448 0.9461
O6 0.2265 0.7280 0.7943
O7 0.7735 0.2720 0.2057
O8 0.2720 0.7735 0.2057

Summary:
* DFT total energy: -0.4046 Ry/atom
* raw formation energy: -14.76 eV per formula unit